First-principles (PBE-GGA) data for Cs3U2PbS9 after structural relaxation, as listed in Alexandria.

ΔE_f (raw) in meV per atom: -1090
Space group: No. 164

abc: 7.549 7.549 9.373
angles: 90.00 90.00 120.00
Fractional coordinates of all 15 atoms:
Cs (0.000, 0.000, 0.000)
Cs (0.333, 0.667, 0.658)
Cs (0.667, 0.333, 0.342)
U (0.333, 0.667, 0.159)
U (0.667, 0.333, 0.841)
Pb (0.000, 0.000, 0.500)
S (0.000, 0.500, 0.000)
S (0.177, 0.355, 0.310)
S (0.177, 0.823, 0.310)
S (0.355, 0.177, 0.690)
S (0.500, 0.000, 0.000)
S (0.500, 0.500, 0.000)
S (0.645, 0.823, 0.310)
S (0.823, 0.177, 0.690)
S (0.823, 0.645, 0.690)